Entry 1:
Density functional theory data (GGA-PBE) for crystalline NpTlBi2 at its relaxed geometry.

```
data_NpTlBi2
_symmetry_space_group_name_H-M 'R -3 m'
_symmetry_Int_Tables_number 166
_symmetry_space_group_name_Hall '-R 3 2"'
_cell_length_a 4.4277
_cell_length_b 4.4277
_cell_length_c 24.9775
_cell_angle_alpha 90.00
_cell_angle_beta 90.00
_cell_angle_gamma 120.00
loop_
_atom_site_label
_atom_site_fract_x
_atom_site_fract_y
_atom_site_fract_z
_atom_site_occupancy
Np1 0.0000 0.0000 0.0000 1
Tl1 0.0000 0.0000 0.5000 1
Bi1 0.0000 0.0000 0.2588 1
```

Values from the calculation:
The formation energy is 23.38 kJ per mole of atoms. The calculation puts the offset from the most stable computed form at 212 meV/atom. The calculated volume is 424.1 Å³/cell.



Entry 2:
Density functional theory data (GGA-PBE) for crystalline SmMgPa at its relaxed geometry.

```
data_SmMgPa
_symmetry_space_group_name_H-M 'P -1'
_symmetry_Int_Tables_number 2
_symmetry_space_group_name_Hall '-P 1'
_cell_length_a 3.5616
_cell_length_b 3.9876
_cell_length_c 11.8273
_cell_angle_alpha 89.97
_cell_angle_beta 88.08
_cell_angle_gamma 89.92
loop_
_atom_site_label
_atom_site_fract_x
_atom_site_fract_y
_atom_site_fract_z
_atom_site_occupancy
Sm1 0.2412 0.2501 0.1032 1
Mg1 0.2826 0.2495 0.7255 1
Pa1 0.1834 0.2501 0.4414 1
```

Values from the calculation:
The formation energy is 12.02 kJ per mole of atoms. The calculated volume is 167.9 Å³/cell.



Entry 3:
Density functional theory data (GGA-PBE) for crystalline BaLi2Au2 at its relaxed geometry.

```
data_BaLi2Au2
_symmetry_space_group_name_H-M 'P 4/m b m'
_symmetry_Int_Tables_number 127
_symmetry_space_group_name_Hall '-P 4 2ab'
_cell_length_a 8.1159
_cell_length_b 8.1159
_cell_length_c 3.7148
_cell_angle_alpha 90.00
_cell_angle_beta 90.00
_cell_angle_gamma 90.00
loop_
_atom_site_label
_atom_site_fract_x
_atom_site_fract_y
_atom_site_fract_z
_atom_site_occupancy
Ba1 0.0000 0.0000 0.0000 1
Li1 0.1270 0.3730 0.5000 1
Au1 0.1283 0.6283 0.0000 1
```

Values from the calculation:
The formation energy is -36.02 kJ per mole of atoms. The calculation puts the offset from the most stable computed form at 199 meV/atom. The calculated volume is 244.7 Å³/cell.



Entry 4:
Density functional theory data (GGA-PBE) for crystalline TaInPb2 at its relaxed geometry.

```
data_TaInPb2
_symmetry_space_group_name_H-M 'C m m m'
_symmetry_Int_Tables_number 65
_symmetry_space_group_name_Hall '-C 2 2'
_cell_length_a 6.9241
_cell_length_b 8.6735
_cell_length_c 3.2693
_cell_angle_alpha 90.00
_cell_angle_beta 90.00
_cell_angle_gamma 90.00
loop_
_atom_site_label
_atom_site_fract_x
_atom_site_fract_y
_atom_site_fract_z
_atom_site_occupancy
Ta1 0.0000 0.0000 0.0000 1
In1 0.0000 0.5000 0.0000 1
Pb1 0.2500 0.2500 0.5000 1
```

Values from the calculation:
The formation energy is 55.47 kJ per mole of atoms. The calculated volume is 196.3 Å³/cell.



no.,D(E_F) (states/eV per cell)
1,31.39
2,9.83
3,3.73
4,4.82